Below is crystalline Sc6Tl3H at its relaxed geometry, with properties calculated at the GGA-PBE level.

Cell: 4.9496 9.5315 9.5315 Å, 109.19 90.00 90.00°
Positions (direct):
Sc: 0.6534 0.9216 0.0784
Sc: 0.1531 0.4143 0.2499
Sc: 0.1644 0.4236 0.9133
Sc: 0.6531 0.2499 0.4143
Sc: 0.6699 0.2466 0.7534
Sc: 0.1531 0.7501 0.5857
Sc: 0.1534 0.0784 0.9216
Sc: 0.1644 0.0867 0.5764
Sc: 0.6531 0.5857 0.7501
Sc: 0.1699 0.7534 0.2466
Sc: 0.6644 0.5764 0.0867
Sc: 0.6644 0.9133 0.4236
H: 0.5750 0.7934 0.2066
H: 0.0750 0.2066 0.7934
Tl: 0.6497 0.9265 0.7432
Tl: 0.6529 0.5905 0.4095
Tl: 0.1529 0.4095 0.5905
Tl: 0.1497 0.0735 0.2568
Tl: 0.1497 0.7432 0.9265
Tl: 0.6497 0.2568 0.0735

## Properties
For the electronic total energy, the calculation gives -5.13 eV per atom.

***

Below is crystalline ScTlH at its relaxed geometry, with properties calculated at the GGA-PBE level.

Cell: 5.1193 3.3911 3.3911 Å, 120.00 90.00 90.00°
Positions (direct):
Sc: 0.1668 0.6667 0.3333
H: 0.1665 0.0000 0.0000
Tl: 0.6667 0.3333 0.6667

## Properties
For the energy above the most stable polymorph in this dataset, the calculation gives 0.000 eV/atom.

***

Below is crystalline Sc2Tl2H at its relaxed geometry, with properties calculated at the GGA-PBE level.

Cell: 3.9040 3.9040 8.5695 Å, 76.83 76.83 90.00°
Positions (direct):
Tl: 0.4110 0.4110 0.1780
Tl: 0.5890 0.5890 0.8220
Sc: 0.2500 0.7500 0.5000
Sc: 0.7500 0.2500 0.5000
H: 0.0000 0.0000 0.0000

## Properties
For the energy above the most stable polymorph in this dataset, the calculation gives 0.836 eV/atom.

***

Below is crystalline Sc2Tl2H at its relaxed geometry, with properties calculated at the GGA-PBE level.

Cell: 6.6791 6.6791 4.8618 Å, 90.00 90.00 90.00°
Positions (direct):
Sc: 0.8401 0.3401 0.5000
Sc: 0.3401 0.1599 0.5000
Sc: 0.6599 0.8401 0.5000
Sc: 0.1599 0.6599 0.5000
Tl: 0.6627 0.1627 0.0000
Tl: 0.1627 0.3373 0.0000
Tl: 0.3373 0.8373 0.0000
Tl: 0.8373 0.6627 0.0000
H: 0.5000 0.5000 0.0000
H: 0.0000 0.0000 0.0000

## Properties
For the energy above the most stable polymorph in this dataset, the calculation gives 0.420 eV/atom.

***

Below is crystalline Sc4Tl5H2 at its relaxed geometry, with properties calculated at the GGA-PBE level.

Cell: 3.3019 8.2322 9.6132 Å, 115.35 99.89 90.00°
Positions (direct):
Sc: 0.6664 0.6664 0.3328
Sc: 0.0000 0.6715 0.0000
Sc: 0.0000 0.3285 0.0000
Sc: 0.3336 0.3336 0.6672
Tl: 0.1678 0.9846 0.3356
Tl: 0.8322 0.6490 0.6644
Tl: 0.5000 0.0000 0.0000
Tl: 0.1678 0.3510 0.3356
Tl: 0.8322 0.0154 0.6644
H: 0.4485 0.4485 0.8969
H: 0.5515 0.5515 0.1031

## Properties
For the electronic total energy, the calculation gives -4.13 eV per atom.

***

Below is crystalline ScTlH2 at its relaxed geometry, with properties calculated at the GGA-PBE level.

Cell: 4.1902 4.1902 4.1902 Å, 60.00 60.00 60.00°
Positions (direct):
Tl: 0.5000 0.5000 0.5000
H: 0.7500 0.7500 0.7500
H: 0.2500 0.2500 0.2500
Sc: 0.0000 0.0000 0.0000

## Properties
For the energy above the most stable polymorph in this dataset, the calculation gives 0.361 eV/atom.

***

Below is crystalline Sc5Tl4H at its relaxed geometry, with properties calculated at the GGA-PBE level.

Cell: 4.6622 7.2067 7.2067 Å, 83.99 71.13 71.13°
Positions (direct):
Sc: 0.8330 0.0000 0.3360
Sc: 0.1690 0.6640 0.0000
Sc: 0.8330 0.3360 0.0000
Sc: 0.1690 0.0000 0.6640
Sc: 0.5010 0.0000 0.0000
H: 0.0014 0.0000 0.0000
Tl: 0.8134 0.6876 0.6876
Tl: 0.1886 0.3124 0.3124
Tl: 0.5010 0.3124 0.6876
Tl: 0.5010 0.6876 0.3124

## Properties
For the electronic total energy, the calculation gives -4.60 eV per atom.

***

Below is crystalline ScTlH at its relaxed geometry, with properties calculated at the GGA-PBE level.

Cell: 3.4618 3.4618 8.5425 Å, 90.00 90.00 90.00°
Positions (direct):
H: 0.5000 0.5000 0.5000
H: 0.0000 0.0000 0.5000
Tl: 0.0000 0.5000 0.8609
Tl: 0.5000 0.0000 0.1391
Sc: 0.5000 0.0000 0.6325
Sc: 0.0000 0.5000 0.3675

## Properties
For the energy above the most stable polymorph in this dataset, the calculation gives 0.050 eV/atom.

***

Below is crystalline Sc3TlH2 at its relaxed geometry, with properties calculated at the GGA-PBE level.

Cell: 3.3533 6.2009 9.8544 Å, 87.65 90.00 90.00°
Positions (direct):
Sc: 0.7500 0.8589 0.6025
Sc: 0.7500 0.6251 0.8860
Sc: 0.2500 0.0977 0.8497
Sc: 0.2500 0.1411 0.3975
Sc: 0.2500 0.3749 0.1140
Sc: 0.7500 0.9023 0.1503
Tl: 0.7500 0.3813 0.6289
Tl: 0.2500 0.6187 0.3711
H: 0.2500 0.4309 0.9105
H: 0.2500 0.0190 0.5983
H: 0.7500 0.5691 0.0895
H: 0.7500 0.9810 0.4017

## Properties
For the electronic total energy, the calculation gives -4.98 eV per atom.

***

Below is crystalline Sc4TlH at its relaxed geometry, with properties calculated at the GGA-PBE level.

Cell: 5.6936 6.2556 7.5443 Å, 104.90 112.16 89.99°
Positions (direct):
Sc: 0.2841 0.6477 0.3906
Sc: 0.6826 0.4421 0.2043
Sc: 0.5218 0.9422 0.2044
Sc: 0.1065 0.1478 0.3907
Sc: 0.4782 0.0578 0.7956
Sc: 0.8935 0.8522 0.6093
Sc: 0.7159 0.3523 0.6094
Sc: 0.3174 0.5579 0.7957
Tl: 0.0982 0.2499 0.0000
Tl: 0.9018 0.7501 0.0000
H: 0.0000 0.5000 0.5000
H: 0.5000 0.0000 0.5000

## Properties
For the electronic total energy, the calculation gives -5.38 eV per atom.

***

Below is crystalline Tm4Sc2Tl3H2 at its relaxed geometry, with properties calculated at the GGA-PBE level.

Cell: 4.6434 4.6434 12.2427 Å, 100.93 100.93 90.00°
Positions (direct):
Sc: 0.3049 0.3049 0.6097
Sc: 0.6951 0.6951 0.3903
H: 0.6041 0.6041 0.2082
H: 0.3959 0.3959 0.7918
Tm: 0.0872 0.5872 0.1744
Tm: 0.5872 0.0872 0.1744
Tm: 0.9128 0.4128 0.8256
Tm: 0.4128 0.9128 0.8256
Tl: 0.0000 0.0000 0.0000
Tl: 0.1791 0.1791 0.3582
Tl: 0.8209 0.8209 0.6418

## Properties
For the electronic total energy, the calculation gives -4.23 eV per atom.

***

Below is crystalline Sc2TlVH at its relaxed geometry, with properties calculated at the GGA-PBE level.

Cell: 4.5635 4.5635 3.9736 Å, 90.00 90.00 90.00°
Positions (direct):
Sc: 0.5000 0.0000 0.0000
Sc: 0.0000 0.5000 0.0000
Tl: 0.5000 0.5000 0.5000
V: 0.0000 0.0000 0.5000
H: 0.0000 0.0000 0.0000

## Properties
For the electronic total energy, the calculation gives -5.63 eV per atom.

***

V in Å³/f.u., matching the order above: 212.34, 50.98, 123.65, 108.44, 231.84, 52.02, 216.80, 51.19, 102.37, 119.54, 254.30, 82.75